DFT (PBE-GGA) results for a relaxed structure of NaGa12Au7.

Calculated values
The symmetry is R-3, No. 148. As for the formation energy: -0.15 eV per atom. Its crystal system is trigonal. The value obtained for the density of states at the Fermi level is 6.82 states/eV/cell. The density is 9.56 Mg/m³.

Cell: 8.0523 8.0523 8.0523 Å, 110.32 110.32 110.32°
Sites, in units of the cell vectors:
Na 0.0000 0.0000 0.0000
Ga 0.0011 0.7497 0.2515
Ga 0.1358 0.4733 0.4726
Ga 0.2503 0.7485 0.9989
Ga 0.2515 0.0011 0.7497
Ga 0.4726 0.1358 0.4733
Ga 0.4733 0.4726 0.1358
Ga 0.5267 0.5274 0.8642
Ga 0.5274 0.8642 0.5267
Ga 0.7485 0.9989 0.2503
Ga 0.7497 0.2515 0.0011
Ga 0.8642 0.5267 0.5274
Ga 0.9989 0.2503 0.7485
Au 0.1705 0.1713 0.5082
Au 0.1713 0.5082 0.1705
Au 0.4918 0.8295 0.8287
Au 0.5000 0.5000 0.5000
Au 0.5082 0.1705 0.1713
Au 0.8287 0.4918 0.8295
Au 0.8295 0.8287 0.4918